(a)
Material: RePb2W
Method: DFT, GGA-PBEsol
State: optimized geometry

Cell lengths 3.2547, 5.2027, 9.1827 Å; angles 90.00, 90.00, 90.00 degrees
Space group Cmmm (No. 65)
One atom of each set of equivalent atoms:
Re: 0.0000 0.0000 0.0000 (multiplicity 2)
Pb: 0.0000 0.5000 0.2450 (multiplicity 4)
W: 0.0000 0.0000 0.5000 (multiplicity 2)


(b)
Material: RePb2W
Method: DFT, GGA-PBEsol
State: optimized geometry

Cell lengths 6.7801, 6.7801, 6.7801 Å; angles 90.00, 90.00, 90.00 degrees
Space group F-43m (No. 216)
One atom of each set of equivalent atoms:
Re: 0.0000 0.0000 0.0000 (multiplicity 4)
Pb: 0.0000 0.0000 0.5000 (multiplicity 4)
Pb: 0.2500 0.2500 0.2500 (multiplicity 4)
W: 0.2500 0.2500 0.7500 (multiplicity 4)


It comes down to (b), which is 0.143 eV/atom more stable than the next structure.


(a)
Material: YRePb2
Method: DFT, GGA-PBEsol
State: optimized geometry

Cell lengths 6.9815, 6.9815, 6.9815 Å; angles 90.00, 90.00, 90.00 degrees
Space group Fm-3m (No. 225)
One atom of each set of equivalent atoms:
Y: 0.0000 0.0000 0.0000 (multiplicity 4)
Re: 0.0000 0.0000 0.5000 (multiplicity 4)
Pb: 0.2500 0.2500 0.2500 (multiplicity 8)


(b)
Material: YRePb2
Method: DFT, GGA-PBEsol
State: optimized geometry

Cell lengths 3.4369, 5.5369, 9.6569 Å; angles 90.00, 90.00, 90.00 degrees
Space group Cmmm (No. 65)
One atom of each set of equivalent atoms:
Y: 0.0000 0.0000 0.0000 (multiplicity 2)
Re: 0.0000 0.0000 0.5000 (multiplicity 2)
Pb: 0.0000 0.5000 0.2754 (multiplicity 4)


It comes down to (a), which is 0.269 eV/atom more stable than the next structure.


(a)
Material: ZnRe2Pb
Method: DFT, GGA-PBEsol
State: optimized geometry

Cell lengths 5.3481, 8.3807, 2.9567 Å; angles 90.00, 90.00, 90.00 degrees
Space group Cmmm (No. 65)
One atom of each set of equivalent atoms:
Zn: 0.0000 0.0000 0.0000 (multiplicity 2)
Re: 0.2500 0.2500 0.5000 (multiplicity 4)
Pb: 0.0000 0.5000 0.0000 (multiplicity 2)


(b)
Material: ZnRe2Pb
Method: DFT, GGA-PBEsol
State: optimized geometry

Cell lengths 8.2343, 3.1518, 5.7300 Å; angles 90.00, 98.97, 90.00 degrees
Space group Cm (No. 8)
One atom of each set of equivalent atoms:
Zn: 0.0000 0.0000 0.0000 (multiplicity 2)
Re: 0.2446 0.5000 0.2182 (multiplicity 2)
Re: 0.4685 0.0000 0.3725 (multiplicity 2)
Pb: 0.2322 0.0000 0.7032 (multiplicity 2)


It comes down to (b), which is 0.356 eV/atom more stable than the next structure.


(a)
Material: ZrRePb2
Method: DFT, GGA-PBEsol
State: optimized geometry

Cell lengths 3.2575, 3.2575, 27.4016 Å; angles 90.00, 90.00, 120.00 degrees
Space group R-3m (No. 166, hexagonal axes)
One atom of each set of equivalent atoms:
Zr: 0.0000 0.0000 0.0000 (multiplicity 3)
Re: 0.0000 0.0000 0.5000 (multiplicity 3)
Pb: 0.0000 0.0000 0.2433 (multiplicity 6)


(b)
Material: ZrRePb2
Method: DFT, GGA-PBEsol
State: optimized geometry

Cell lengths 3.3293, 5.4531, 9.3828 Å; angles 90.00, 90.00, 90.00 degrees
Space group Cmmm (No. 65)
One atom of each set of equivalent atoms:
Zr: 0.0000 0.0000 0.0000 (multiplicity 2)
Re: 0.0000 0.0000 0.5000 (multiplicity 2)
Pb: 0.0000 0.5000 0.2658 (multiplicity 4)


It comes down to (a), which is 0.047 eV/atom more stable than the next structure.